First-principles (PBE) data for a geometry-optimized La3SmTm2Te6 structure, as listed in the Alexandria database.

abc: 10.0216 10.0216 9.0246
angles: 104.09 104.09 25.48
Closest atoms and distances in Å follow each position.
Fractional positions:
La (0.0000, 0.0000, 0.0000)  6 Te 3.20-3.27
La (0.3371, 0.3371, 0.6673)  6 Te 3.21-3.27
La (0.6629, 0.6629, 0.3327)  6 Te 3.21-3.27
Sm (0.0000, 0.0000, 0.5000)  6 Te 3.12-3.16
Tm (0.3346, 0.3346, 0.1687)  6 Te 3.01-3.08
Tm (0.6654, 0.6654, 0.8313)  6 Te 3.01-3.08
Te (0.1666, 0.1666, 0.5982)  2 Tm 3.06, 1 Sm 3.16, 3 La 3.23-3.25
Te (0.1722, 0.1722, 0.0715)  3 Tm 3.08, 3 La 3.27
Te (0.4937, 0.4937, 0.2528)  1 Tm 3.01, 2 Sm 3.12, 3 La 3.20-3.21
Te (0.5063, 0.5063, 0.7472)  1 Tm 3.01, 2 Sm 3.12, 3 La 3.20-3.21
Te (0.8278, 0.8278, 0.9285)  3 Tm 3.08, 3 La 3.27
Te (0.8334, 0.8334, 0.4018)  2 Tm 3.06, 1 Sm 3.16, 3 La 3.23-3.25

* formation energy (no corrections): -1.43 eV/atom